# Ni2Pt4Rh3 GGA-PBE relaxed
# * calculated volume: 14.28 Å³ per atom
# * electronic total energy: -0.237 hartree per atom
# * offset from the most stable computed form: 0.0 meV/atom
# * DFT formation energy: -0.04 eV per atom
data_Ni2Pt4Rh3
_chemical_formula_sum 'Ni4 Pt8 Rh6'
_cell_length_a 8.5968
_cell_length_b 3.8530
_cell_length_c 8.1663
_cell_angle_alpha 90.00
_cell_angle_beta 108.20
_cell_angle_gamma 90.00
_space_group_name_H-M_alt 'C 1 2/m 1'
_space_group_IT_number 12
loop_
_space_group_symop_operation_xyz
'x,y,z'
'-x,-y,-z'
'-x,y,-z'
'x,-y,z'
'x+1/2,y+1/2,z'
'-x+1/2,-y+1/2,-z'
'-x+1/2,y+1/2,-z'
'x+1/2,-y+1/2,z'
loop_
_atom_site_label
_atom_site_fract_x
_atom_site_fract_y
_atom_site_fract_z
_atom_site_occupancy
Ni1 0.1680 0.0000 0.2238 1
Pt1 0.0003 0.5000 0.3305 1
Pt2 0.1663 0.0000 0.8891 1
Rh1 0.0000 0.5000 0.0000 1
Rh2 0.1685 0.0000 0.5521 1